Pm2Cu15Ag2: relaxed, PBE.

Unit cell a=6.592 b=6.592 c=6.592 alpha=83.01 beta=83.01 gamma=83.01
Element x y z (fractional)
Pm: 0.653 0.653 0.653
Pm: 0.347 0.347 0.347
Cu: 0.653 0.653 0.160
Cu: 0.300 0.000 0.700
Cu: 0.000 0.500 0.000
Cu: 0.347 0.347 0.840
Cu: 0.300 0.700 0.000
Cu: 0.653 0.160 0.653
Cu: 0.160 0.653 0.653
Cu: 0.700 0.300 0.000
Cu: 0.000 0.000 0.500
Cu: 0.500 0.000 0.000
Cu: 0.000 0.700 0.300
Cu: 0.840 0.347 0.347
Cu: 0.000 0.300 0.700
Cu: 0.700 0.000 0.300
Cu: 0.347 0.840 0.347
Ag: 0.896 0.896 0.896
Ag: 0.104 0.104 0.104

## Properties
The value obtained for the calculated density is 8.63 g cm⁻³. For the total magnetic moment, the calculation gives 0.00 μB per cell. As for the symmetry: R-3m. Its formation energy is -0.090 eV/atom.